# SnHg2Cl6

A relaxed structure of SnHg2Cl6 (PBE-GGA, Alexandria).

The structure in extended XYZ format:
```
18
Lattice="6.8964 0.1873 0.1813 2.2634 9.5779 -0.3066 2.2634 0.0039 9.5828" Properties=species:S:1:pos:R:3 pbc="T T T"
Sn 3.9875 0.8415 8.8113
Sn 7.4357 8.9276 0.6462
Hg 5.5413 5.3179 6.9043
Hg 2.4338 2.6025 4.2754
Hg 5.8820 4.4511 2.5532
Hg 8.9895 7.1666 5.1821
Cl 5.7030 6.7554 5.0668
Cl 2.2721 4.3924 2.7791
Cl 5.7203 3.0136 4.3908
Cl 9.1512 5.3766 6.6784
Cl 8.8893 8.8949 3.6556
Cl 5.9822 5.9208 0.7765
Cl 2.5340 0.8742 5.8019
Cl 5.4411 3.8482 8.6811
Cl 5.2106 8.0133 8.7259
Cl 2.7644 0.6945 1.6405
Cl 6.2126 1.7558 0.7317
Cl 8.6588 9.0746 7.8170
```

Summary:
The total energy comes out at -2.469 eV/atom. Its symmetry is C2/c (15). As for the distance to the lowest polymorph of the same formula: 0 meV per atom. The total moment comes out at 0.0 μB/cell. For the raw formation energy, the calculation gives -0.73 eV per atom.

***

# CeTaGaO6

A relaxed structure of CeTaGaO6 (PBE-GGA, Alexandria).

The structure in extended XYZ format:
```
18
Lattice="-2.0666 -2.0061 -4.3348 4.8955 1.7661 -0.0271 3.2411 -8.9441 2.5941" Properties=species:S:1:pos:R:3 pbc="T T T"
Ce 0.0000 0.0000 0.0000
Ce 1.6205 -4.4721 1.2970
Ta 3.3851 -1.7273 -0.8145
Ta 2.6849 -7.4568 -0.9533
Ga 1.0643 -2.9847 -2.2504
Ga 5.0056 -6.1994 0.4826
O 2.2745 -1.3880 -2.4485
O 2.1904 -0.6088 0.3432
O 1.3380 -6.4208 0.1101
O 3.8796 -8.5753 -2.1110
O 2.1839 -3.3192 -0.6108
O 4.3267 -2.1000 0.9155
O 1.4670 -8.9995 -0.5594
O 4.7320 -2.7633 -1.8779
O 1.7433 -7.0841 -2.6833
O 4.6029 -0.1845 -1.2083
O 3.8861 -5.8649 -1.1570
O 3.7954 -7.7961 0.6807
```

Summary:
The total energy comes out at -8.322 eV/atom. Its symmetry is P-31c (163). The total moment comes out at 0.0 μB/cell. For the raw formation energy, the calculation gives -2.70 eV per atom.

***

# Er2Ge6Pd

A relaxed structure of Er2Ge6Pd (PBE-GGA, Alexandria).

The structure in extended XYZ format:
```
9
Lattice="-3.3945 2.4285 -10.3301 -0.4901 -3.4331 10.5880 -0.9035 3.7992 1.1901" Properties=species:S:1:pos:R:3 pbc="T T T"
Er -3.1989 3.0216 -5.0726
Er -1.2862 -0.8385 8.7029
Ge -2.3740 1.3569 0.8682
Ge -2.0406 0.6840 3.2694
Ge -3.3698 2.3786 -10.1522
Ge -3.0354 1.7036 -7.7434
Ge -2.4364 0.4948 -3.4294
Ge -1.1944 -2.0118 5.5157
Pd -2.1151 -0.1536 -1.1156
```

Summary:
The total energy comes out at -5.155 eV/atom. Its symmetry is Amm2 (38). The total moment comes out at 0.0 μB/cell. The value obtained for the energy of formation from the pure elements is -0.486 eV/atom.

***

# PmTh3Pb12

A relaxed structure of PmTh3Pb12 (PBE-GGA, Alexandria).

The structure in extended XYZ format:
```
16
Lattice="4.9563 0.0000 0.0000 0.0000 4.9563 0.0000 0.0000 0.0000 19.2490" Properties=species:S:1:pos:R:3 pbc="T T T"
Pm 0.0000 0.0000 0.0000
Th 0.0000 0.0000 4.8332
Th 0.0000 0.0000 9.6245
Th 0.0000 0.0000 14.4158
Pb 2.4781 2.4781 0.0000
Pb 2.4781 2.4781 4.7934
Pb 2.4781 2.4781 9.6245
Pb 2.4781 2.4781 14.4556
Pb 2.4781 0.0000 2.3960
Pb 2.4781 0.0000 7.2145
Pb 2.4781 0.0000 12.0344
Pb 2.4781 0.0000 16.8530
Pb 0.0000 2.4781 2.3960
Pb 0.0000 2.4781 7.2145
Pb 0.0000 2.4781 12.0344
Pb 0.0000 2.4781 16.8530
```

Summary:
The total energy comes out at -4.735 eV/atom. Its symmetry is P4/mmm (123). The total moment comes out at 0.0 μB/cell. The value obtained for the energy of formation from the pure elements is -0.265 eV/atom.

***

# Ho2HfZr3N6

A relaxed structure of Ho2HfZr3N6 (PBE-GGA, Alexandria).

The structure in extended XYZ format:
```
12
Lattice="-5.2338 -2.1629 0.7929 2.9080 -1.2332 -4.7668 2.9344 -3.1940 3.7631" Properties=species:S:1:pos:R:3 pbc="T T T"
Ho 0.1937 -1.5432 -2.9133
Ho -2.5195 -1.8530 -1.0606
Hf 0.0000 0.0000 0.0000
Zr 3.0158 -2.9855 -1.9569
Zr -2.4072 -3.6047 1.7461
Zr 0.3043 -3.2951 -0.1054
N -0.8694 -5.1019 0.7015
N -1.0273 -3.4117 -2.0750
N 1.4780 -1.4883 -0.9122
N 1.7412 -4.8038 -1.0812
N 1.6359 -3.1785 1.8642
N -1.1326 -1.7864 0.8705
```

Summary:
The total energy comes out at -9.623 eV/atom. Its symmetry is C2/m (12). The total moment comes out at 0.0 μB/cell. For the raw formation energy, the calculation gives -1.73 eV per atom.

***

# CsNaTl2

A relaxed structure of CsNaTl2 (PBE-GGA, Alexandria).

The structure in extended XYZ format:
```
4
Lattice="-1.7876 3.9025 3.3755 -2.5200 -0.8741 -4.7409 -1.9587 -5.3809 5.1836" Properties=species:S:1:pos:R:3 pbc="T T T"
Cs -3.0904 1.1446 1.4571
Na -3.1760 -3.4971 2.3611
Tl -5.5044 -1.5165 3.2551
Tl -2.6351 -1.5752 4.8426
```

Summary:
The total energy comes out at -1.807 eV/atom. Its symmetry is C2/m (12). As for the distance to the lowest polymorph of the same formula: 4 meV per atom. The total moment comes out at 0.0 μB/cell. The value obtained for the energy of formation from the pure elements is -0.080 eV/atom.

***

# AcPmSiPt

A relaxed structure of AcPmSiPt (PBE-GGA, Alexandria).

The structure in extended XYZ format:
```
4
Lattice="-0.7982 -2.7224 -4.4422 0.9785 -5.1776 -0.1298 -3.9907 -3.4294 -0.3082" Properties=species:S:1:pos:R:3 pbc="T T T"
Ac -1.9052 -5.6647 -2.4401
Si -0.9526 -2.8323 -1.2200
Pt -2.8578 -8.4970 -3.6601
Pm 0.0000 0.0000 0.0000
```

Summary:
The total energy comes out at -5.764 eV/atom. Its symmetry is F-43m (216). The total moment comes out at 0.0 μB/cell. For the raw formation energy, the calculation gives -0.68 eV per atom.

***

# BeVTe

A relaxed structure of BeVTe (PBE-GGA, Alexandria).

The structure in extended XYZ format:
```
12
Lattice="9.1000 0.0000 -0.0099 0.0000 3.9881 0.0000 -1.7274 0.0000 6.6195" Properties=species:S:1:pos:R:3 pbc="T T T"
Be 1.5282 0.0000 1.6003
Be 0.6645 1.9941 4.9101
Be -0.4745 0.0000 3.4167
Be 0.3893 1.9941 0.1069
Te 5.6312 0.0000 4.9657
Te 6.4949 1.9941 1.6560
Te 1.6218 0.0000 6.3360
Te 2.4855 1.9941 3.0263
V -0.8635 0.0000 5.6821
V 0.0002 1.9941 2.3723
V 8.2010 0.0000 0.9448
V 7.3372 1.9941 4.2545
```

Summary:
The total energy comes out at -5.389 eV/atom. Its symmetry is Cm (8). As for the distance to the lowest polymorph of the same formula: 106 meV per atom. The total moment comes out at 0.0 μB/cell. For the raw formation energy, the calculation gives -0.06 eV per atom.

***

# CuP2Ru

A relaxed structure of CuP2Ru (PBE-GGA, Alexandria).

The structure in extended XYZ format:
```
4
Lattice="7.4040 0.0117 0.0070 6.8150 2.8941 0.0070 6.8150 1.3927 2.5369" Properties=species:S:1:pos:R:3 pbc="T T T"
Cu 15.7755 3.2239 1.9132
P 20.9984 4.2913 2.5466
P 10.5527 2.1565 1.2798
Ru 5.2585 1.0746 0.6377
```

Summary:
The total energy comes out at -6.120 eV/atom. Its symmetry is R-3m (166). As for the distance to the lowest polymorph of the same formula: 79 meV per atom. The total moment comes out at 0.0 μB/cell. The value obtained for the energy of formation from the pure elements is -0.072 eV/atom.

***

# Na2MnN2

A relaxed structure of Na2MnN2 (PBE-GGA, Alexandria).

The structure in extended XYZ format:
```
20
Lattice="4.8862 0.0000 0.0000 0.0000 6.0699 0.0000 0.0000 0.0000 10.6103" Properties=species:S:1:pos:R:3 pbc="T T T"
Na 1.2215 3.5048 8.6840
Na 1.2215 0.4698 7.2315
Na 3.6646 2.5651 1.9263
Na 3.6646 5.6001 3.3788
Na 1.2215 1.0960 0.3772
Na 1.2215 4.1309 4.9279
Na 3.6646 4.9739 10.2331
Na 3.6646 1.9390 5.6824
Mn 1.2215 4.4144 1.8037
Mn 1.2215 1.3795 3.5015
Mn 3.6646 1.6555 8.8066
Mn 3.6646 4.6904 7.1089
N 1.2215 2.7820 2.4590
N 1.2215 5.8169 2.8462
N 3.6646 3.2879 8.1513
N 3.6646 0.2530 7.7642
N 1.2215 4.6395 0.1987
N 1.2215 1.6045 5.1065
N 3.6646 1.4304 10.4116
N 3.6646 4.4654 5.5039
```

Summary:
The total energy comes out at -5.912 eV/atom. Its symmetry is Pnma (62). As for the distance to the lowest polymorph of the same formula: 49 meV per atom. The total moment comes out at 0.0 μB/cell. For the raw formation energy, the calculation gives -0.22 eV per atom.

***

# PuInSbAu

A relaxed structure of PuInSbAu (PBE-GGA, Alexandria).

The structure in extended XYZ format:
```
4
Lattice="5.1762 0.0000 0.0000 2.5881 4.4827 0.0000 2.5881 1.4942 4.2263" Properties=species:S:1:pos:R:3 pbc="T T T"
Sb 5.1762 2.9885 2.1132
In 2.5881 1.4942 1.0566
Au 0.0000 0.0000 0.0000
Pu 7.7642 4.4827 3.1697
```

Summary:
The total energy comes out at -6.414 eV/atom. Its symmetry is F-43m (216). As for the distance to the lowest polymorph of the same formula: 100 meV per atom. The total moment comes out at 5.8 μB/cell. For the raw formation energy, the calculation gives -0.30 eV per atom.

***

# AlCoAu2

A relaxed structure of AlCoAu2 (PBE-GGA, Alexandria).

The structure in extended XYZ format:
```
4
Lattice="3.0265 0.0000 0.0000 0.0000 3.0265 0.0000 0.0000 0.0000 6.5988" Properties=species:S:1:pos:R:3 pbc="T T T"
Co 0.0000 0.0000 3.5323
Au 0.0000 0.0000 6.4047
Au 1.5133 1.5133 1.8511
Al 1.5133 1.5133 4.7090
```

Summary:
The total energy comes out at -4.511 eV/atom. Its symmetry is P4mm (99). The total moment comes out at 0.7 μB/cell. The value obtained for the energy of formation from the pure elements is -0.160 eV/atom.

***

# Ba2LaAu

A relaxed structure of Ba2LaAu (PBE-GGA, Alexandria).

The structure in extended XYZ format:
```
4
Lattice="-1.8938 3.2873 1.2400 -2.3058 -2.2258 2.3790 6.7989 1.0579 7.5794" Properties=species:S:1:pos:R:3 pbc="T T T"
Au 2.9994 1.3242 7.4940
Ba 6.4052 0.9966 7.1404
Ba 3.7932 0.5902 4.2286
La -0.4001 0.7952 3.7043
```

Summary:
The total energy comes out at -3.233 eV/atom. Its symmetry is P4/mmm (123). As for the distance to the lowest polymorph of the same formula: 101 meV per atom. The total moment comes out at 0.0 μB/cell. The value obtained for the energy of formation from the pure elements is -0.221 eV/atom.

***

# La2SnH

A relaxed structure of La2SnH (PBE-GGA, Alexandria).

The structure in extended XYZ format:
```
8
Lattice="-1.2198 -3.7057 2.0752 3.6779 -2.5401 -2.3740 3.6716 3.1252 7.7390" Properties=species:S:1:pos:R:3 pbc="T T T"
La 1.8389 -1.2701 -1.1870
La -0.6099 -1.8528 1.0376
La 3.2837 -2.4312 2.2936
La 2.8459 -0.6894 5.1466
Sn 5.7269 0.0388 3.4358
Sn 1.6225 0.5462 1.9292
H 1.8410 -2.9169 0.5782
H 4.2886 -0.2037 6.8620
```

Summary:
The total energy comes out at -4.925 eV/atom. Its symmetry is Cmmm (65). As for the distance to the lowest polymorph of the same formula: 0 meV per atom. The total moment comes out at 0.0 μB/cell.

***

# NiBrCl3

A relaxed structure of NiBrCl3 (PBE-GGA, Alexandria).

The structure in extended XYZ format:
```
20
Lattice="6.7381 0.0000 0.5395 0.0000 10.2120 0.0000 -0.1222 0.0000 10.2952" Properties=species:S:1:pos:R:3 pbc="T T T"
Ni 0.4951 3.9316 1.0306
Ni 0.4340 6.2804 6.1782
Ni 6.1819 3.9316 4.6565
Ni 6.1208 6.2804 9.8041
Br 0.3243 0.0358 3.7095
Br 6.3527 0.0358 1.9777
Br 0.2632 10.1763 8.8571
Br 6.2916 10.1763 7.1253
Cl 4.3111 3.3841 5.5364
Cl 4.3722 6.8279 0.3888
Cl 1.3375 6.4236 8.1826
Cl 0.5362 6.3108 0.9011
Cl 1.3986 3.7884 3.0350
Cl 2.3048 6.8279 5.2983
Cl 6.1408 6.3108 4.7860
Cl 5.2173 6.4236 7.7997
Cl 6.0797 3.9012 9.9336
Cl 5.2784 3.7884 2.6521
Cl 2.2437 3.3841 10.4459
Cl 0.4751 3.9012 6.0487
```

Summary:
The total energy comes out at -2.906 eV/atom. Its symmetry is P2/c (13). As for the distance to the lowest polymorph of the same formula: 0 meV per atom. The total moment comes out at 4.1 μB/cell. For the raw formation energy, the calculation gives -0.31 eV per atom.

***

# GeAuIN2

A relaxed structure of GeAuIN2 (PBE-GGA, Alexandria).

The structure in extended XYZ format:
```
5
Lattice="3.8237 0.0000 0.0000 0.0000 3.8237 0.0000 0.0000 0.0000 7.6973" Properties=species:S:1:pos:R:3 pbc="T T T"
I 0.0000 0.0000 3.8487
Ge 0.0000 0.0000 0.0000
Au 1.9119 1.9119 3.8487
N 0.0000 1.9119 0.0000
N 1.9119 0.0000 0.0000
```

Summary:
The total energy comes out at -3.991 eV/atom. Its symmetry is P4/mmm (123). As for the distance to the lowest polymorph of the same formula: 0 meV per atom. The total moment comes out at 0.0 μB/cell. For the raw formation energy, the calculation gives 1.23 eV per atom.

***

# RbPaPdS3

A relaxed structure of RbPaPdS3 (PBE-GGA, Alexandria).

The structure in extended XYZ format:
```
12
Lattice="4.0456 0.0000 0.0000 -2.0228 7.3718 0.0000 0.0000 0.0000 10.2270" Properties=species:S:1:pos:R:3 pbc="T T T"
Rb 2.0228 3.5924 7.6702
Rb 0.0000 3.7794 2.5567
Pa 0.0000 0.0000 5.1135
Pa 0.0000 0.0000 0.0000
Pd 0.0000 6.8431 7.6702
Pd 2.0228 0.5288 2.5567
S 2.0228 1.7497 4.6584
S 0.0000 5.6222 5.5686
S 0.0000 5.6222 9.7719
S 2.0228 1.7497 0.4551
S 0.0000 0.8734 7.6702
S 2.0228 6.4985 2.5567
```

Summary:
The total energy comes out at -6.072 eV/atom. Its symmetry is Cmcm (63). The total moment comes out at 0.0 μB/cell. For the raw formation energy, the calculation gives -1.40 eV per atom.

***

# SrRhBr2

A relaxed structure of SrRhBr2 (PBE-GGA, Alexandria).

The structure in extended XYZ format:
```
4
Lattice="5.2491 0.0000 0.0000 2.6245 4.5458 0.0000 2.6245 1.5153 4.2858" Properties=species:S:1:pos:R:3 pbc="T T T"
Sr 7.8736 4.5458 3.2144
Rh 5.2491 3.0305 2.1429
Br 0.0000 0.0000 0.0000
Br 2.6245 1.5153 1.0715
```

Summary:
The total energy comes out at -3.393 eV/atom. Its symmetry is F-43m (216). As for the distance to the lowest polymorph of the same formula: 571 meV per atom. The total moment comes out at 1.0 μB/cell. For the raw formation energy, the calculation gives -0.30 eV per atom.

***

# LiThAlCu

A relaxed structure of LiThAlCu (PBE-GGA, Alexandria).

The structure in extended XYZ format:
```
4
Lattice="4.7491 0.0000 0.0000 2.3746 4.1129 0.0000 2.3746 1.3710 3.8776" Properties=species:S:1:pos:R:3 pbc="T T T"
Li 7.1237 4.1129 2.9082
Cu 2.3746 1.3710 0.9694
Th 4.7491 2.7419 1.9388
Al 0.0000 0.0000 0.0000
```

Summary:
The total energy comes out at -4.467 eV/atom. Its symmetry is F-43m (216). The total moment comes out at 0.0 μB/cell. The value obtained for the energy of formation from the pure elements is -0.174 eV/atom.

***

# NbCd3Pd

A relaxed structure of NbCd3Pd (PBE-GGA, Alexandria).

The structure in extended XYZ format:
```
5
Lattice="-3.6480 -3.3372 1.0686 3.4776 -3.6375 0.5117 0.4308 1.1037 4.9176" Properties=species:S:1:pos:R:3 pbc="T T T"
Nb 0.1302 -2.9356 3.2490
Pd 0.0000 0.0000 0.0000
Cd 1.7388 -1.8188 0.2558
Cd 0.2154 0.5518 2.4588
Cd -1.8240 -1.6686 0.5343
```

Summary:
The total energy comes out at -2.858 eV/atom. Its symmetry is Pm-3m (221). As for the distance to the lowest polymorph of the same formula: 0 meV per atom. The total moment comes out at 3.3 μB/cell. The value obtained for the energy of formation from the pure elements is 0.744 eV/atom.